Below is a relaxed Mg2AlPt2 crystal, with properties calculated at the PBE-GGA level.

Results
Offset from the most stable computed form   0 meV per atom
E   -4.6516 eV per atom
Energy of formation   -0.849 eV per atom

Lattice parameters (Å, degrees): 9.7026 5.1653 7.3930 90.00 104.55 90.00
Space group C2/c (No. 15)
One atom of each set of equivalent atoms:
Mg 0.1548 0.1434 0.1531 x8
Al 0.0000 0.3496 0.7500 x4
Pt 0.1287 0.3586 0.5046 x8


Below is a relaxed MgAl2Pt crystal, with properties calculated at the PBE-GGA level.

Results
E   -4.3164 eV per atom
Energy of formation   -0.536 eV per atom

Lattice parameters (Å, degrees): 3.9668 3.9668 4.0210 90.00 90.00 90.00
Space group P4/mmm (No. 123)
One atom of each set of equivalent atoms:
Mg 0.0000 0.0000 0.0000 x1
Al 0.0000 0.5000 0.5000 x2
Pt 0.5000 0.5000 0.0000 x1


Below is a relaxed Mg3Al3Pt2 crystal, with properties calculated at the PBE-GGA level.

Results
E   -4.1551 eV per atom
Energy of formation   -0.643 eV per atom

Lattice parameters (Å, degrees): 7.3244 15.3504 5.2955 90.00 90.00 90.00
Space group Pnma (No. 62)
One atom of each set of equivalent atoms:
Mg 0.0213 0.1202 0.0920 x8
Mg 0.1690 0.2500 0.6362 x4
Al 0.1713 0.0320 0.6058 x8
Al 0.1744 0.7500 0.6390 x4
Pt 0.1257 0.6129 0.3989 x8


Below is a relaxed Mg2AlPt2 crystal, with properties calculated at the PBE-GGA level.

Results
Offset from the most stable computed form   453 meV per atom
E   -4.1989 eV per atom
Energy of formation   -0.396 eV per atom

Lattice parameters (Å, degrees): 3.8073 3.8073 12.5454 90.00 90.00 90.00
Space group I4/mmm (No. 139)
One atom of each set of equivalent atoms:
Mg 0.0000 0.5000 0.2500 x4
Al 0.0000 0.0000 0.0000 x2
Pt 0.0000 0.0000 0.3969 x4


Below is a relaxed MgAl2Pt crystal, with properties calculated at the PBE-GGA level.

Results
E   -4.2783 eV per atom
Energy of formation   -0.498 eV per atom

Lattice parameters (Å, degrees): 3.0612 3.6994 5.7485 90.00 90.00 90.00
Space group Pmm2 (No. 25)
One atom of each set of equivalent atoms:
Mg 0.0000 0.0000 0.0000 x1
Al 0.0000 0.0000 0.4784 x1
Al 0.5000 0.5000 0.7283 x1
Pt 0.5000 0.5000 0.2660 x1


Below is a relaxed MgAl2Pt8 crystal, with properties calculated at the PBE-GGA level.

Results
E   -5.8523 eV per atom
Energy of formation   -0.634 eV per atom

Lattice parameters (Å, degrees): 4.0649 7.1401 11.8429 90.00 90.00 90.00
Space group Immm (No. 71)
One atom of each set of equivalent atoms:
Mg 0.0000 0.0000 0.0000 x2
Al 0.0000 0.0000 0.3076 x4
Pt 0.0000 0.1926 0.5000 x4
Pt 0.0000 0.2802 0.1628 x8
Pt 0.0000 0.5000 0.3558 x4